VASP calculation (PBE-GGA) on crystalline BaLiTbTe3 at its relaxed geometry.

Its total magnetization is 0.01 μB/cell. The offset from the most stable computed form comes out at 0.00 eV/f.u.

abc: 4.5500 15.0056 11.5178
angles: 90.00 90.00 90.00
Last column: nearest neighbours and their distance in Å.
Space group Cmcm (No. 63)
Asymmetric unit:
Ba  0.0000  0.2502  0.2500  6 Te 3.50-3.61
Li  0.0000  0.0291  0.7500  4 Te 2.74-2.75
Tb  0.0000  0.5000  0.0000  6 Te 3.08-3.13
Te  0.0000  0.1367  0.5569  1 Li 2.75
Te  0.0000  0.4269  0.7500  2 Li 2.74

VASP calculation (PBE-GGA) on crystalline K2Tm2O5 at its relaxed geometry.

Its total magnetization is 2.00 μB/cell. The offset from the most stable computed form comes out at 12.22 eV/f.u.

abc: 4.3342 4.3342 7.1488
angles: 90.00 90.00 90.00
Last column: nearest neighbours and their distance in Å.
Space group P4/mmm (No. 123)
Asymmetric unit:
K  0.0000  0.0000  0.1867  5 O 2.17-2.24
Tm  0.5000  0.5000  0.0000  8 O 2.59
Tm  0.5000  0.5000  0.5000  12 O 3.05-3.06
O  0.0000  0.0000  0.5000  2 K 2.24
O  0.0000  0.5000  0.1996  2 K 2.17

VASP calculation (PBE-GGA) on crystalline PrGd4Se4O4 at its relaxed geometry.

Its total magnetization is 1.32 μB/cell.

abc: 15.7005 3.8571 10.6604
angles: 90.00 118.86 90.00
Last column: nearest neighbours and their distance in Å.
Space group C2/m (No. 12)
Asymmetric unit:
Pr  0.0000  0.0000  0.0000  2 O 2.36
Gd  0.0248  0.5000  0.3376  3 O 2.20-2.26
Gd  0.2183  0.0000  0.3395  4 O 2.27-2.37
Se  0.1114  0.0000  0.6221  6 Gd 3.06-3.28, 1 Se 3.20, 1 O 3.39
Se  0.1587  0.5000  0.0763  2 Pr 2.94, 2 Gd 3.15
O  0.0471  0.0000  0.2465  3 Gd 2.26-2.37, 1 Pr 2.36
O  0.1827  0.5000  0.4193  4 Gd 2.20-2.28

VASP calculation (PBE-GGA) on crystalline Sm2Dy2CI2BrCl2 at its relaxed geometry.

Its total magnetization is 0.11 μB/cell.

abc: 18.4888 3.9027 8.2641
angles: 90.00 99.98 90.00
Last column: nearest neighbours and their distance in Å.
Space group C2/m (No. 12)
Asymmetric unit:
Sm  0.0022  0.0000  0.2956  2 C 2.59, 1 Cl 2.81
Dy  0.1322  0.5000  0.5644  1 C 2.41
C  0.0000  0.5000  0.5000  2 Dy 2.41, 4 Sm 2.59
I  0.1765  0.0000  0.3078  2 Dy 3.09, 1 Sm 3.21
Br  0.0000  0.5000  0.0000  4 Sm 3.12
Cl  0.1515  0.0000  0.7993  2 Dy 2.73, 1 Sm 2.81

VASP calculation (PBE-GGA) on crystalline CuBiTeW at its relaxed geometry.

Its total magnetization is 6.96 μB/cell. The offset from the most stable computed form comes out at 1.14 eV/f.u.

abc: 6.9582 6.9582 6.9582
angles: 90.00 90.00 90.00
Last column: nearest neighbours and their distance in Å.
Space group F-43m (No. 216)
Asymmetric unit:
Cu  0.0000  0.0000  0.0000  4 W 3.01, 4 Bi 3.01
Bi  0.2500  0.2500  0.2500  4 Te 3.01, 4 Cu 3.01
Te  0.0000  0.0000  0.5000  4 Bi 3.01, 4 W 3.01
W  0.2500  0.2500  0.7500  4 Te 3.01, 4 Cu 3.01

VASP calculation (PBE-GGA) on crystalline HgPdO3 at its relaxed geometry.

abc: 3.8891 3.8891 4.1334
angles: 90.00 90.00 90.00
Last column: nearest neighbours and their distance in Å.
Space group P4mm (No. 99)
Asymmetric unit:
Hg  0.0000  0.0000  0.0000  4 O 2.46
Pd  0.5000  0.5000  0.4586  5 O 1.94-1.98
O  0.0000  0.5000  0.3661  2 Pd 1.98
O  0.5000  0.5000  0.9279  1 Pd 1.94

Number 1: calculated total energy -4.458 eV per atom. Number 2: calculated total energy -4.915 eV per atom. Number 3: calculated total energy -7.002 eV per atom. Number 4: calculated total energy -5.042 eV per atom. Number 5: calculated total energy -4.866 eV per atom. Number 6: calculated total energy -4.017 eV per atom.